1.
Li3Er2PuS6: optimized geometry, GGA-PBE.

* electronic total energy: -6.230 eV per atom
* uncorrected formation energy: -1733 meV per atom
* DOS(E_F): 0.974 states/eV per atom

Cell: 6.7804 6.7804 6.5489 Å, 99.93 99.93 119.99°
With the nearest neighbours (Å) after each atom.
Element x y z (fractional)
1 Li 0.5000 0.5000 0.5000  6 S 2.70-2.75
2 S 0.5781 0.9168 0.7500  3 Li 2.69-2.75, 2 Er 2.72, 1 Pu 2.76
3 S 0.4219 0.0832 0.2500  3 Li 2.69-2.75, 2 Er 2.72, 1 Pu 2.76
4 S 0.7448 0.7448 0.2507  3 Li 2.70-2.76, 2 Er 2.72, 1 Pu 2.77
5 S 0.9168 0.5781 0.7500  3 Li 2.69-2.75, 2 Er 2.72, 1 Pu 2.76
6 Pu 0.0000 0.0000 0.0000  6 S 2.76-2.77
7 Er 0.3335 0.6665 0.0000  6 S 2.72
8 Li 0.8315 0.1685 0.5000  6 S 2.69-2.76
9 S 0.2552 0.2552 0.7493  3 Li 2.70-2.76, 2 Er 2.72, 1 Pu 2.77
10 Li 0.1685 0.8315 0.5000  6 S 2.69-2.76
11 Er 0.6665 0.3335 0.0000  6 S 2.72
12 S 0.0832 0.4219 0.2500  3 Li 2.69-2.75, 2 Er 2.72, 1 Pu 2.76


2.
LiEr2Pu3S6: optimized geometry, GGA-PBE.

* electronic total energy: -8.373 eV per atom
* uncorrected formation energy: -1806 meV per atom
* DOS(E_F): 1.838 states/eV per atom

Cell: 6.7640 6.7640 6.7781 Å, 99.58 99.58 120.01°
With the nearest neighbours (Å) after each atom.
Element x y z (fractional)
1 S 0.2508 0.2508 0.7600  1 Li 2.71, 2 Er 2.73, 3 Pu 2.79-2.81
2 S 0.5892 0.9200 0.7601  1 Li 2.71, 2 Er 2.73, 3 Pu 2.79-2.81
3 Er 0.3334 0.6666 0.0000  6 S 2.73
4 S 0.4108 0.0800 0.2399  1 Li 2.71, 2 Er 2.73, 3 Pu 2.79-2.81
5 Pu 0.5000 0.5000 0.5000  6 S 2.79-2.81
6 Pu 0.1667 0.8333 0.5000  6 S 2.79-2.81
7 S 0.9200 0.5892 0.7601  1 Li 2.71, 2 Er 2.73, 3 Pu 2.79-2.81
8 S 0.7492 0.7492 0.2400  1 Li 2.71, 2 Er 2.73, 3 Pu 2.79-2.81
9 S 0.0800 0.4108 0.2399  1 Li 2.71, 2 Er 2.73, 3 Pu 2.79-2.81
10 Li 0.0000 0.0000 0.0000  6 S 2.71
11 Er 0.6666 0.3334 0.0000  6 S 2.73
12 Pu 0.8333 0.1667 0.5000  6 S 2.79-2.81


3.
LiErPu2S4: optimized geometry, GGA-PBE.

* electronic total energy: -8.178 eV per atom
* uncorrected formation energy: -1722 meV per atom
* DOS(E_F): 2.627 states/eV per atom

Cell: 3.9237 6.8035 6.7339 Å, 110.05 90.00 90.00°
With the nearest neighbours (Å) after each atom.
Element x y z (fractional)
1 Pu 0.5000 0.0000 0.5000  6 S 2.79-2.82
2 S 0.0000 0.2517 0.7597  2 Li 2.73, 1 Er 2.73, 3 Pu 2.79-2.82
3 Pu 0.0000 0.5000 0.5000  6 S 2.78-2.82
4 S 0.5000 0.7497 0.7588  1 Li 2.72, 2 Er 2.74, 3 Pu 2.78-2.82
5 Li 0.5000 0.5000 0.0000  6 S 2.72-2.73
6 S 0.0000 0.7483 0.2403  2 Li 2.73, 1 Er 2.73, 3 Pu 2.79-2.82
7 S 0.5000 0.2503 0.2412  1 Li 2.72, 2 Er 2.74, 3 Pu 2.78-2.82
8 Er 0.0000 0.0000 0.0000  6 S 2.73-2.74


Question: Which formula does entry 2 have?
Answer: LiEr2Pu3S6


Question: What is the formula in the second record?
Answer: LiEr2Pu3S6


Question: The lowest DOS(E_F) belongs to which entry?
Answer: Li3Er2PuS6


Question: Look up the electronic total energy of the first one.
Answer: -6.230 eV per atom